1.
PBE-GGA KBaTc2B, optimized geometry; space group = P4/mmm, No. 123; E = -5.24 eV per atom; ρ = 6.14 g/cm³; formation energy = 0.848 eV per atom
1.0
-1.9342 0.2014 3.8288
1.4508 -5.3364 1.0137
3.6704 1.3368 1.7839
K B Ba Tc
1 1 1 2
Cartesian
0.7254 -2.6682 0.5068
0.0000 0.0000 0.0000
1.5935 -1.8991 3.3132
1.8352 0.6684 0.8919
-0.9671 0.1007 1.9144

=====

2.
PBE-GGA Tc2AgH2, optimized geometry; space group = I4/mmm, No. 139; E = -5.52 eV per atom; ρ = 8.57 g/cm³
1.0
3.6831 0.0000 0.0000
0.0000 3.6831 0.0000
1.8415 1.8415 4.3710
H Tc Ag
2 2 1
Cartesian
1.8415 1.8415 1.4912
3.6831 3.6831 2.8798
3.6831 1.8415 2.1855
1.8415 3.6831 2.1855
0.0000 0.0000 0.0000

=====

3.
PBE-GGA Ba6SrI14, optimized geometry; space group = Cmce, No. 64; E = -3.36 eV per atom; ρ = 3.96 g/cm³; raw formation energy = -1693 meV/atom
1.0
-9.4189 2.7367 -12.8673
3.3743 -15.1718 -4.4950
-6.8493 -2.8304 4.4117
Ba Sr I
12 2 28
Cartesian
-9.4181 0.2812 -8.4115
-12.5179 -2.8893 -10.4565
-5.2985 -2.8127 -7.6298
-11.3467 -7.2016 -7.7757
-6.2176 -9.4381 -10.6875
-2.5410 -2.9502 -2.4278
-6.6763 -5.8274 -2.2631
-10.3529 -12.3153 -10.5228
-7.5955 -12.4528 -5.3208
-1.5472 -8.0639 -5.1749
-0.3760 -12.3762 -2.4941
-3.4759 -15.5467 -4.5391
0.0000 0.0000 0.0000
-6.4470 -7.6327 -6.4753
-10.2759 -0.3159 -11.9441
-13.0378 -0.3635 -7.8255
-6.2071 -1.7593 -10.7654
-12.4800 -6.1723 -10.6895
-6.8105 -0.1389 -6.4473
-9.6588 -3.1368 -8.5772
-9.6048 -4.3912 -1.1909
-5.9302 -2.4618 -2.6789
-5.7905 -7.3727 -13.3967
-9.4652 -9.3021 -11.9088
-6.2553 -5.9488 -9.3096
-9.0121 -5.9942 -5.1943
-6.2803 -3.8261 1.4124
-4.3805 -5.5480 -5.1735
-8.5134 -9.7175 -7.7771
-6.6136 -11.4394 -14.3630
-6.6386 -9.3167 -3.6410
-3.8819 -9.2712 -7.7563
-3.2891 -10.8743 -11.7596
-3.4288 -5.9634 -1.0418
-7.1034 -7.8928 0.4461
-6.9637 -12.8037 -10.2717
-3.2352 -12.1287 -4.3734
-0.4139 -9.0932 -2.2611
-6.0834 -15.1266 -6.5033
0.1626 -10.6758 -6.5969
0.1439 -14.9020 -5.1250
-2.6180 -14.9496 -1.0065

=====

4.
PBE-GGA AlVP3, optimized geometry; space group = Pm-3m, No. 221; E = -4.97 eV per atom; ρ = 2.94 g/cm³; formation energy = 0.851 eV per atom
1.0
-4.3778 -1.2968 0.4179
0.6424 -0.7245 4.4815
-1.2015 4.3377 0.8735
P Al V
3 1 1
Cartesian
0.3212 -0.3623 2.2408
-0.6008 2.1688 0.4368
-2.1889 -0.6484 0.2090
0.0000 0.0000 0.0000
-2.4685 1.1582 2.8865

=====

5.
PBE-GGA TbDy2Pa, optimized geometry; space group = R-3m, No. 166; E = -5.55 eV per atom; ρ = 10.11 g/cm³; formation energy = 0.282 eV per atom
1.0
-1.2388 1.9433 2.4053
-3.1098 -0.4803 1.0931
2.7228 -7.3059 9.6113
Pa Tb Dy
1 1 2
Cartesian
0.0000 0.0000 0.0000
-0.8129 -2.9215 6.5549
1.6297 -5.2642 7.3988
-3.2555 -0.5788 5.7109

=====

6.
PBE-GGA NdPu2Cd, optimized geometry; space group = P4/mmm, No. 123; E = -8.41 eV per atom; ρ = 10.66 g/cm³; formation energy = 0.174 eV per atom
1.0
-2.8204 -0.3937 -3.0408
-2.7389 -1.5338 2.7390
-2.2104 6.1795 1.2501
Cd Nd Pu
1 1 2
Cartesian
-2.7797 -0.9638 -0.1509
-3.8849 2.1260 0.4741
-1.7018 4.7576 0.9624
-0.5086 1.4219 0.2876

=====

7.
PBE-GGA LaTm4Cu5, optimized geometry; space group = P4/mmm, No. 123; E = -4.59 eV per atom; ρ = 9.07 g/cm³; formation energy = -0.260 eV per atom
1.0
-0.1400 0.4163 3.4040
-2.3415 -2.5007 0.2095
12.8488 -11.8650 1.9793
La Tm Cu
1 4 5
Cartesian
0.0000 0.0000 0.0000
2.6717 -2.4671 0.4116
5.1725 -4.7764 0.7968
7.6764 -7.0886 1.1825
10.1771 -9.3979 1.5678
0.2665 -2.4341 2.0389
2.6766 -4.6596 2.4102
5.1837 -6.9747 2.7964
7.6908 -9.2898 3.1826
10.1008 -11.5153 3.5539

=====

8.
PBE-GGA BaLiSmAg, optimized geometry; space group = F-43m, No. 216; E = -2.81 eV per atom; ρ = 5.41 g/cm³; formation energy = 0.043 eV per atom
1.0
-1.9194 3.4793 -3.9303
-5.4472 1.2307 -0.2242
-1.7712 5.1089 1.4139
Ag Ba Sm Li
1 1 1 1
Cartesian
-2.2845 2.4547 -0.6851
0.0000 0.0000 0.0000
-4.5689 4.9095 -1.3703
-6.8534 7.3642 -2.0554

=====

9.
PBE-GGA Ac4Pm, optimized geometry; space group = Pm-3m, No. 221; E = -3.72 eV per atom; ρ = 7.09 g/cm³; formation energy = 0.515 eV per atom
1.0
-3.7876 4.2739 2.5942
-4.7166 -1.9750 -3.6326
-1.6584 -4.1443 4.4064
Ac Pm
4 1
Cartesian
0.0000 0.0000 0.0000
-2.7230 0.0648 3.5003
-3.1875 -3.0596 0.3869
-4.2521 1.1495 -0.5192
-5.0813 -0.9227 1.6840

=====

10.
PBE-GGA H5RuPb, optimized geometry; space group = Imm2, No. 44; E = -3.97 eV per atom; ρ = 7.70 g/cm³
1.0
3.3985 0.0000 1.5179
1.3365 4.1704 1.5712
-0.0169 -0.6898 4.6011
H Ru Pb
5 1 1
Cartesian
3.5641 0.8987 3.0334
0.7284 1.7403 3.1169
2.5587 2.5819 5.2844
1.5813 0.4637 4.4524
2.2923 3.0169 2.8607
2.4666 1.7403 3.8932
4.0858 3.4806 7.4079

=====

11.
PBE-GGA TbCe2Ge4Pt3, optimized geometry; space group = P-4m2, No. 115; E = -6.18 eV per atom; ρ = 10.44 g/cm³; formation energy = -0.875 eV per atom
1.0
-1.3987 2.7169 3.0614
-3.5256 -2.4431 0.5574
5.3741 -5.9836 7.7656
Tb Ce Ge Pt
1 2 4 3
Cartesian
0.2249 -2.8549 5.6922
0.5345 -0.0154 3.3137
2.3774 -5.8313 6.2613
-2.4622 0.1369 1.8094
0.0000 0.0000 0.0000
2.8635 -2.6085 6.6790
0.0484 -3.2382 2.8960
2.6870 -2.9918 3.8828
4.0504 -3.9301 8.3941
-1.1385 -1.9167 1.1808

=====

12.
PBE-GGA Ba4AcF10, optimized geometry; space group = I4/m, No. 87; E = -5.83 eV per atom; ρ = 5.22 g/cm³; raw formation energy = -3793 meV/atom
1.0
5.6889 0.0000 2.5688
2.8444 7.0180 1.2844
-0.0437 0.0000 7.6806
Ba Ac F
4 1 10
Cartesian
4.5205 5.6072 5.1564
6.2257 4.1789 8.9636
2.2639 2.8391 2.5702
3.9691 1.4108 6.3774
0.0000 0.0000 0.0000
2.8226 3.5090 5.1247
4.5492 1.9598 9.0296
0.5614 0.6606 2.4038
4.9751 6.3574 7.7965
6.8936 5.0583 3.8376
3.9404 5.0583 2.5041
5.6670 3.5090 6.4091
1.5960 1.9598 7.6962
3.5145 0.6606 3.7372
7.9282 6.3574 9.1300